VASP calculation (PBE with a Hubbard U) on an optimized crystal structure of TeWOF2.

a b c (Å): 4.7084 4.7084 4.1082
angles (deg): 90.00 90.00 90.00
Element x y z (fractional)
O1 0.0000 0.0000 0.5000
W1 0.5000 0.5000 0.5000
F1 0.0000 0.5000 0.0000
F2 0.5000 0.0000 0.0000
Te1 0.0000 0.0000 0.0000

Results
Total energy: -20.01 eV per formula unit
Mass density: 6663 kg/m³
ΔE to the lowest computed polymorph: 4.78 eV per formula unit